1.
Below is a geometry-optimized LuZnRuAu structure, with properties calculated at the GGA-PBE level.

Computed properties:
DFT formation energy (eV/f.u.): -1.4
Fermi-level density of states (states/eV/cell): 5.9
VASP energy (eV per atom): -4.932
Calculated density (Mg/m³): 12.86
Crystal system: cubic

abc: 6.5269 6.5269 6.5269
angles: 90.00 90.00 90.00
Last column: nearest neighbours and their distance in Å.
Space group F-43m (No. 216)
Asymmetric unit:
Lu 0.0000 0.0000 0.0000 [4 per cell]  4 Au 2.83, 4 Ru 2.83
Zn 0.0000 0.0000 0.5000 [4 per cell]  4 Ru 2.83, 4 Au 2.83
Ru 0.2500 0.2500 0.2500 [4 per cell]  4 Lu 2.83, 4 Zn 2.83
Au 0.2500 0.2500 0.7500 [4 per cell]  4 Zn 2.83, 4 Lu 2.83


2.
Below is a geometry-optimized Lu2SbAu structure, with properties calculated at the GGA-PBE level.

Computed properties:
Formation energy without anion corrections (meV per atom): -760
Fermi-level density of states (states/eV/cell): 2.7
VASP energy (eV per atom): -4.870
Calculated density (Mg/m³): 11.59
Crystal system: tetragonal

abc: 5.0145 5.0145 3.8091
angles: 90.00 90.00 90.00
Last column: nearest neighbours and their distance in Å.
Space group P4/mmm (No. 123)
Asymmetric unit:
Lu 0.0000 0.5000 0.0000 [2 per cell]  4 Sb 3.15, 4 Au 3.15
Sb 0.0000 0.0000 0.5000 [1 per cell]  8 Lu 3.15
Au 0.5000 0.5000 0.5000 [1 per cell]  8 Lu 3.15


3.
Below is a geometry-optimized Lu2SbAu structure, with properties calculated at the GGA-PBE level.

Computed properties:
Formation energy without anion corrections (meV per atom): -793
Fermi-level density of states (states/eV/cell): 7.3
VASP energy (eV per atom): -4.904
Calculated density (Mg/m³): 10.41
Crystal system: trigonal

abc: 4.2409 4.2409 20.5453
angles: 90.00 90.00 120.00
Last column: nearest neighbours and their distance in Å.
Space group R-3m (No. 166, hexagonal axes)
Asymmetric unit:
Lu 0.0000 0.0000 0.2447 [6 per cell]  3 Au 2.93, 3 Sb 3.05
Sb 0.0000 0.0000 0.0000 [3 per cell]  6 Lu 3.05
Au 0.0000 0.0000 0.5000 [3 per cell]  6 Lu 2.93


4.
Below is a geometry-optimized LuSbAu2 structure, with properties calculated at the GGA-PBE level.

Computed properties:
Formation energy without anion corrections (meV per atom): -548
Fermi-level density of states (states/eV/cell): 2.4
VASP energy (eV per atom): -4.348
Calculated density (Mg/m³): 13.42
Crystal system: tetragonal

abc: 4.3592 4.3592 4.4957
angles: 90.00 90.00 90.00
Last column: nearest neighbours and their distance in Å.
Space group P4/mmm (No. 123)
Asymmetric unit:
Lu 0.0000 0.0000 0.0000 [1 per cell]  4 Sb 3.08, 8 Au 3.13
Sb 0.5000 0.5000 0.0000 [1 per cell]  4 Lu 3.08, 8 Au 3.13
Au 0.0000 0.5000 0.5000 [2 per cell]  4 Au 3.08, 4 Sb 3.13, 4 Lu 3.13


5.
Below is a geometry-optimized LuSbAu structure, with properties calculated at the GGA-PBE level.

Computed properties:
Formation energy without anion corrections (meV per atom): -685
Fermi-level density of states (states/eV/cell): 1.3
VASP energy (eV per atom): -4.659
Calculated density (Mg/m³): 11.17
Crystal system: trigonal

abc: 4.4664 4.4664 4.2489
angles: 90.00 90.00 120.00
Last column: nearest neighbours and their distance in Å.
Space group P3m1 (No. 156)
Asymmetric unit:
Lu 0.0000 0.0000 0.0000 [1 per cell]  3 Au 2.91, 3 Sb 3.18
Sb 0.3333 0.6667 0.4371 [1 per cell]  3 Au 2.78
Au 0.6667 0.3333 0.6817 [1 per cell]  3 Sb 2.78, 3 Lu 2.91


6.
Below is a geometry-optimized LuSbAu2 structure, with properties calculated at the GGA-PBE level.

Computed properties:
Formation energy without anion corrections (meV per atom): -559
Fermi-level density of states (states/eV/cell): 1.5
VASP energy (eV per atom): -4.359
Calculated density (Mg/m³): 13.02
Crystal system: tetragonal

abc: 3.7874 3.7874 6.1396
angles: 90.00 90.00 90.00
Last column: nearest neighbours and their distance in Å.
Space group P4/mmm (No. 123)
Asymmetric unit:
Lu 0.0000 0.0000 0.0000 [1 per cell]  8 Au 3.05, 2 Sb 3.07
Sb 0.0000 0.0000 0.5000 [1 per cell]  2 Lu 3.07, 8 Au 3.13
Au 0.5000 0.5000 0.2361 [2 per cell]  2 Au 2.90-3.24, 4 Lu 3.05, 4 Sb 3.13


7.
Below is a geometry-optimized LuSbAu structure, with properties calculated at the GGA-PBE level.

Computed properties:
Formation energy without anion corrections (meV per atom): -554
Fermi-level density of states (states/eV/cell): 4.2
VASP energy (eV per atom): -4.528
Calculated density (Mg/m³): 11.52
Crystal system: tetragonal

abc: 3.9471 3.9471 9.1382
angles: 90.00 90.00 90.00
Last column: nearest neighbours and their distance in Å.
Space group I4mm (No. 107)
Asymmetric unit:
Lu 0.0000 0.0000 0.0000 [2 per cell]  5 Au 3.07-3.17, 5 Sb 3.10-3.16
Sb 0.0000 0.0000 0.3389 [2 per cell]  5 Au 2.97-3.22, 5 Lu 3.10-3.16
Au 0.0000 0.0000 0.6635 [2 per cell]  5 Sb 2.97-3.22, 5 Lu 3.07-3.17


8.
Below is a geometry-optimized LuSbAu4 structure, with properties calculated at the GGA-PBE level.

Computed properties:
Formation energy without anion corrections (meV per atom): -352
Fermi-level density of states (states/eV/cell): 8.3
VASP energy (eV per atom): -3.977
Calculated density (Mg/m³): 14.29
Crystal system: cubic

abc: 7.9596 7.9596 7.9596
angles: 90.00 90.00 90.00
Last column: nearest neighbours and their distance in Å.
Space group F-43m (No. 216)
Asymmetric unit:
Lu 0.0000 0.0000 0.0000 [4 per cell]  12 Au 3.30, 4 Sb 3.45
Sb 0.2500 0.2500 0.2500 [4 per cell]  12 Au 3.30, 4 Lu 3.45
Au 0.1253 0.1253 0.6253 [16 per cell]  6 Au 2.81-2.82


9.
Below is a geometry-optimized LuSc2Au structure, with properties calculated at the GGA-PBE level.

Computed properties:
ΔE to the lowest computed polymorph (kJ per mole of atoms): 0.0
DFT formation energy (eV/f.u.): -1.4
Fermi-level density of states (states/eV/cell): 5.8
VASP energy (eV per atom): -5.469
Calculated density (Mg/m³): 8.22
Crystal system: tetragonal

abc: 3.4564 3.4564 7.8137
angles: 90.00 90.00 90.00
Last column: nearest neighbours and their distance in Å.
Space group P4/mmm (No. 123)
Asymmetric unit:
Lu 0.0000 0.0000 0.0000 [1 per cell]  8 Sc 3.34, 4 Lu 3.46
Sc 0.5000 0.5000 0.2916 [2 per cell]  4 Au 2.94, 1 Sc 3.26
Au 0.0000 0.0000 0.5000 [1 per cell]  8 Sc 2.94


10.
Below is a geometry-optimized Lu2ScAu structure, with properties calculated at the GGA-PBE level.

Computed properties:
ΔE to the lowest computed polymorph (kJ per mole of atoms): 0.0
DFT formation energy (eV/f.u.): -1.6
Fermi-level density of states (states/eV/cell): 4.8
VASP energy (eV per atom): -5.058
Calculated density (Mg/m³): 10.08
Crystal system: tetragonal

abc: 3.5672 3.5672 7.6655
angles: 90.00 90.00 90.00
Last column: nearest neighbours and their distance in Å.
Space group P4/mmm (No. 123)
Asymmetric unit:
Lu 0.0000 0.0000 0.2216 [2 per cell]  4 Au 3.04, 4 Sc 3.30, 1 Lu 3.40
Sc 0.5000 0.5000 0.5000 [1 per cell]  8 Lu 3.30, 4 Sc 3.57
Au 0.5000 0.5000 0.0000 [1 per cell]  8 Lu 3.04


11.
Below is a geometry-optimized Lu2ScAu structure, with properties calculated at the GGA-PBE level.

Computed properties:
ΔE to the lowest computed polymorph (kJ per mole of atoms): 6.9
DFT formation energy (eV/f.u.): -1.3
Fermi-level density of states (states/eV/cell): 4.9
VASP energy (eV per atom): -4.986
Calculated density (Mg/m³): 10.39
Crystal system: tetragonal

abc: 4.8759 4.8759 3.9778
angles: 90.00 90.00 90.00
Last column: nearest neighbours and their distance in Å.
Space group P4/mmm (No. 123)
Asymmetric unit:
Lu 0.0000 0.5000 0.0000 [2 per cell]  4 Au 3.15, 4 Sc 3.15, 4 Lu 3.45
Sc 0.0000 0.0000 0.5000 [1 per cell]  8 Lu 3.15, 4 Au 3.45
Au 0.5000 0.5000 0.5000 [1 per cell]  8 Lu 3.15, 4 Sc 3.45


12.
Below is a geometry-optimized LuScAu structure, with properties calculated at the GGA-PBE level.

Computed properties:
ΔE to the lowest computed polymorph (kJ per mole of atoms): 0.0
DFT formation energy (eV/f.u.): -1.6
Fermi-level density of states (states/eV/cell): 5.3
VASP energy (eV per atom): -5.238
Calculated density (Mg/m³): 9.98
Crystal system: tetragonal

abc: 3.4581 3.4581 11.6017
angles: 90.00 90.00 90.00
Last column: nearest neighbours and their distance in Å.
Space group I4mm (No. 107)
Asymmetric unit:
Lu 0.0000 0.0000 0.0000 [2 per cell]  4 Au 3.04, 4 Sc 3.40
Sc 0.0000 0.0000 0.7031 [2 per cell]  4 Au 2.95
Au 0.0000 0.0000 0.3450 [2 per cell]  4 Sc 2.95, 4 Lu 3.04


13.
Below is a geometry-optimized Lu2ScAu structure, with properties calculated at the GGA-PBE level.

Computed properties:
ΔE to the lowest computed polymorph (kJ per mole of atoms): 50.0
DFT formation energy (eV/f.u.): 0.5
Fermi-level density of states (states/eV/cell): 14.0
VASP energy (eV per atom): -4.540
Calculated density (Mg/m³): 9.29
Crystal system: trigonal

abc: 3.3616 3.3616 32.4225
angles: 90.00 90.00 120.00
Last column: nearest neighbours and their distance in Å.
Space group R-3m (No. 166, hexagonal axes)
Asymmetric unit:
Lu 0.0000 0.0000 0.0857 [6 per cell]  1 Au 2.78
Sc 0.0000 0.0000 0.5000 [3 per cell]  6 Lu 3.26, 6 Sc 3.36
Au 0.0000 0.0000 0.0000 [3 per cell]  2 Lu 2.78


14.
Below is a geometry-optimized LuScAu structure, with properties calculated at the GGA-PBE level.

Computed properties:
ΔE to the lowest computed polymorph (kJ per mole of atoms): 7.2
DFT formation energy (eV/f.u.): -1.4
Fermi-level density of states (states/eV/cell): 15.2
VASP energy (eV per atom): -5.163
Calculated density (Mg/m³): 9.01
Crystal system: cubic

abc: 6.7495 6.7495 6.7495
angles: 90.00 90.00 90.00
Last column: nearest neighbours and their distance in Å.
Space group F-43m (No. 216)
Asymmetric unit:
Lu 0.0000 0.0000 0.0000 [4 per cell]  4 Au 2.92
Sc 0.0000 0.0000 0.5000 [4 per cell]  4 Au 2.92
Au 0.2500 0.2500 0.7500 [4 per cell]  4 Sc 2.92, 4 Lu 2.92


15.
Below is a geometry-optimized LuSc2Au structure, with properties calculated at the GGA-PBE level.

Computed properties:
ΔE to the lowest computed polymorph (kJ per mole of atoms): 2.9
DFT formation energy (eV/f.u.): -1.3
Fermi-level density of states (states/eV/cell): 6.3
VASP energy (eV per atom): -5.439
Calculated density (Mg/m³): 8.58
Crystal system: tetragonal

abc: 4.3993 4.3993 4.6169
angles: 90.00 90.00 90.00
Last column: nearest neighbours and their distance in Å.
Space group P4/mmm (No. 123)
Asymmetric unit:
Lu 0.0000 0.0000 0.0000 [1 per cell]  4 Au 3.11, 8 Sc 3.19
Sc 0.0000 0.5000 0.5000 [2 per cell]  4 Sc 3.11, 4 Lu 3.19, 4 Au 3.19
Au 0.5000 0.5000 0.0000 [1 per cell]  4 Lu 3.11, 8 Sc 3.19


16.
Below is a geometry-optimized LuScAu structure, with properties calculated at the GGA-PBE level.

Computed properties:
ΔE to the lowest computed polymorph (kJ per mole of atoms): 8.2
DFT formation energy (eV/f.u.): -1.3
Fermi-level density of states (states/eV/cell): 2.2
VASP energy (eV per atom): -5.153
Calculated density (Mg/m³): 9.94
Crystal system: trigonal

abc: 4.7230 4.7230 3.6035
angles: 90.00 90.00 120.00
Last column: nearest neighbours and their distance in Å.
Space group P3m1 (No. 156)
Asymmetric unit:
Lu 0.0000 0.0000 0.0000 [1 per cell]  3 Au 2.98, 6 Sc 3.21-3.33
Sc 0.6667 0.3333 0.5292 [1 per cell]  3 Au 2.82
Au 0.3333 0.6667 0.3320 [1 per cell]  3 Sc 2.82, 3 Lu 2.98


17.
Below is a geometry-optimized LuScTcAu structure, with properties calculated at the GGA-PBE level.

Computed properties:
DFT formation energy (eV/f.u.): -1.9
Fermi-level density of states (states/eV/cell): 5.7
VASP energy (eV per atom): -6.590
Calculated density (Mg/m³): 11.20
Crystal system: cubic

abc: 6.7346 6.7346 6.7346
angles: 90.00 90.00 90.00
Last column: nearest neighbours and their distance in Å.
Space group F-43m (No. 216)
Asymmetric unit:
Lu 0.0000 0.0000 0.0000 [4 per cell]  4 Tc 2.92, 4 Au 2.92
Sc 0.0000 0.0000 0.5000 [4 per cell]  4 Au 2.92, 4 Tc 2.92
Tc 0.2500 0.2500 0.7500 [4 per cell]  4 Sc 2.92, 4 Lu 2.92
Au 0.2500 0.2500 0.2500 [4 per cell]  4 Sc 2.92, 4 Lu 2.92


18.
Below is a geometry-optimized LuScTlAu structure, with properties calculated at the GGA-PBE level.

Computed properties:
DFT formation energy (eV/f.u.): -2.1
Fermi-level density of states (states/eV/cell): 9.6
VASP energy (eV per atom): -4.653
Calculated density (Mg/m³): 11.35
Crystal system: cubic

abc: 7.1363 7.1363 7.1363
angles: 90.00 90.00 90.00
Last column: nearest neighbours and their distance in Å.
Space group F-43m (No. 216)
Asymmetric unit:
Lu 0.0000 0.0000 0.0000 [4 per cell]  4 Tl 3.09, 4 Au 3.09
Sc 0.0000 0.0000 0.5000 [4 per cell]  4 Au 3.09, 4 Tl 3.09
Tl 0.2500 0.2500 0.2500 [4 per cell]  4 Sc 3.09, 4 Lu 3.09
Au 0.2500 0.2500 0.7500 [4 per cell]  4 Sc 3.09, 4 Lu 3.09


19.
Below is a geometry-optimized LuSiAu structure, with properties calculated at the GGA-PBE level.

Computed properties:
Formation energy without anion corrections (meV per atom): -779
Fermi-level density of states (states/eV/cell): 0.6
VASP energy (eV per atom): -5.186
Calculated density (Mg/m³): 11.48
Crystal system: hexagonal

abc: 4.3205 4.3205 7.1595
angles: 90.00 90.00 120.00
Last column: nearest neighbours and their distance in Å.
Space group P-6m2 (No. 187)
Asymmetric unit:
Lu 0.0000 0.0000 0.0000 [1 per cell]  6 Si 2.92, 6 Au 3.21
Lu 0.0000 0.0000 0.5000 [1 per cell]  6 Au 2.95, 6 Si 3.24
Si 0.3333 0.6667 0.2120 [2 per cell]  3 Au 2.54
Au 0.6667 0.3333 0.2812 [2 per cell]  3 Si 2.54


20.
Below is a geometry-optimized LuSiAu structure, with properties calculated at the GGA-PBE level.

Computed properties:
Formation energy without anion corrections (meV per atom): -762
Fermi-level density of states (states/eV/cell): 0.9
VASP energy (eV per atom): -5.169
Calculated density (Mg/m³): 11.42
Crystal system: hexagonal

abc: 4.3125 4.3125 3.6116
angles: 90.00 90.00 120.00
Last column: nearest neighbours and their distance in Å.
Space group P-6m2 (No. 187)
Asymmetric unit:
Lu 0.0000 0.0000 0.0000 [1 per cell]  6 Si 3.08, 6 Au 3.08
Si 0.6667 0.3333 0.5000 [1 per cell]  3 Au 2.49
Au 0.3333 0.6667 0.5000 [1 per cell]  3 Si 2.49